No. 1
RbNa3Mo (PBE, relaxed); E_form = 4.9 eV/f.u.; D(E_F) = 0.82 states/eV per atom; calculated total energy = -2.179 eV per atom; crystal system = cubic
1.0
6.2280 0.0000 0.0000
0.0000 6.2280 0.0000
0.0000 0.0000 6.2280
Rb Na Mo
1 3 1
Direct
0.0000 0.0000 0.0000
0.0000 0.5000 0.5000
0.5000 0.0000 0.5000
0.5000 0.5000 0.0000
0.5000 0.5000 0.5000

=====

No. 2
Rb2NaMo (PBE, relaxed); E_form = 5.1 eV/f.u.; D(E_F) = 0.60 states/eV per atom; calculated total energy = -2.250 eV per atom; crystal system = tetragonal
1.0
10.5041 0.0000 0.0000
0.0000 10.5041 0.0000
0.0000 0.0000 7.5819
Rb Na Mo
8 4 4
Direct
0.2377 0.2500 0.1250
0.2500 0.7377 0.3750
0.2500 0.7623 0.8750
0.2623 0.2500 0.6250
0.7377 0.7500 0.6250
0.7500 0.2377 0.8750
0.7500 0.2623 0.3750
0.7623 0.7500 0.1250
0.0000 0.0000 0.5000
0.0000 0.5000 0.7500
0.5000 0.0000 0.2500
0.5000 0.5000 0.0000
0.0000 0.0000 0.0000
0.0000 0.5000 0.2500
0.5000 0.0000 0.7500
0.5000 0.5000 0.5000

=====

No. 3
RbNa3Mo (PBE, relaxed); E_form = 7.3 eV/f.u.; D(E_F) = 0.72 states/eV per atom; calculated total energy = -1.682 eV per atom; crystal system = cubic
1.0
6.2467 0.0000 0.0000
0.0000 6.2467 0.0000
0.0000 0.0000 6.2467
Rb Na Mo
1 3 1
Direct
0.0000 0.0000 0.0000
0.0000 0.0000 0.5000
0.0000 0.5000 0.0000
0.5000 0.0000 0.0000
0.5000 0.5000 0.5000